No. 1
# PBE K3Al, relaxed
data_K3Al
_symmetry_space_group_name_H-M 'P 4/m m m'
_symmetry_Int_Tables_number 123
_symmetry_space_group_name_Hall '-P 4 2'
_cell_length_a 4.3232
_cell_length_b 4.3232
_cell_length_c 11.0130
_cell_angle_alpha 90.00
_cell_angle_beta 90.00
_cell_angle_gamma 90.00
loop_
_atom_site_label
_atom_site_fract_x
_atom_site_fract_y
_atom_site_fract_z
K1 0.0000 0.0000 0.0000
K2 0.5000 0.5000 0.3179
Al1 0.0000 0.0000 0.5000
# D(E_F): 2.94 states/eV per cell
# Final energy: -1.48 eV per atom
# Energy of formation: 0.279 eV/atom

=====

No. 2
# PBE K6Al7, relaxed
data_K6Al7
_symmetry_space_group_name_H-M 'R -3 m'
_symmetry_Int_Tables_number 166
_symmetry_space_group_name_Hall '-R 3 2"'
_cell_length_a 5.7873
_cell_length_b 5.7873
_cell_length_c 46.1221
_cell_angle_alpha 90.00
_cell_angle_beta 90.00
_cell_angle_gamma 120.00
loop_
_atom_site_label
_atom_site_fract_x
_atom_site_fract_y
_atom_site_fract_z
K1 0.0000 0.0000 0.0677
K2 0.0000 0.0000 0.1528
K3 0.0000 0.0000 0.3031
Al1 0.0000 0.0000 0.5000
Al2 0.0021 0.5011 0.8861
# D(E_F): 20.53 states/eV per cell
# Final energy: -2.28 eV per atom
# Energy of formation: 0.242 eV/atom

=====

No. 3
# PBE K3Al, relaxed
data_K3Al
_symmetry_space_group_name_H-M 'R -3 m'
_symmetry_Int_Tables_number 166
_symmetry_space_group_name_Hall '-R 3 2"'
_cell_length_a 12.2281
_cell_length_b 12.2281
_cell_length_c 4.4517
_cell_angle_alpha 90.00
_cell_angle_beta 90.00
_cell_angle_gamma 120.00
loop_
_atom_site_label
_atom_site_fract_x
_atom_site_fract_y
_atom_site_fract_z
K1 0.0000 0.5000 0.0000
Al1 0.0000 0.0000 0.0000
# D(E_F): 9.46 states/eV per cell
# Final energy: -1.39 eV per atom
# Energy of formation: 0.372 eV/atom

=====

No. 4
# PBE K3Al, relaxed
data_K3Al
_symmetry_space_group_name_H-M 'P m m 2'
_symmetry_Int_Tables_number 25
_cell_length_a 4.3947
_cell_length_b 6.3161
_cell_length_c 6.8857
_cell_angle_alpha 90.00
_cell_angle_beta 90.00
_cell_angle_gamma 90.00
loop_
_symmetry_equiv_pos_as_xyz
'x,y,z'
'-x,-y,z'
'-x,y,z'
'x,-y,z'
loop_
_atom_site_label
_atom_site_fract_x
_atom_site_fract_y
_atom_site_fract_z
K1 0.0000 0.0000 0.0000
K2 0.0000 0.5000 0.3634
K3 0.5000 0.5000 0.8091
Al1 0.5000 0.0000 0.4986
# D(E_F): 3.15 states/eV per cell
# Final energy: -1.42 eV per atom
# Energy of formation: 0.339 eV/atom

=====

No. 5
# PBE KAl3, relaxed
data_KAl3
_symmetry_space_group_name_H-M 'P -6 m 2'
_symmetry_Int_Tables_number 187
_symmetry_space_group_name_Hall 'P -6 2'
_cell_length_a 3.2631
_cell_length_b 3.2631
_cell_length_c 10.0151
_cell_angle_alpha 90.00
_cell_angle_beta 90.00
_cell_angle_gamma 120.00
loop_
_atom_site_label
_atom_site_fract_x
_atom_site_fract_y
_atom_site_fract_z
K1 0.0000 0.0000 0.0000
Al1 0.0000 0.0000 0.5000
Al2 0.3333 0.6667 0.2950
# D(E_F): 0.24 states/eV per cell
# Final energy: -2.78 eV per atom
# Energy of formation: 0.303 eV/atom

=====

No. 6
# PBE KAl3, relaxed
data_KAl3
_symmetry_space_group_name_H-M 'P m m m'
_symmetry_Int_Tables_number 47
_cell_length_a 3.0317
_cell_length_b 3.9332
_cell_length_c 7.9917
_cell_angle_alpha 90.00
_cell_angle_beta 90.00
_cell_angle_gamma 90.00
loop_
_symmetry_equiv_pos_as_xyz
'x,y,z'
'-x,-y,-z'
'-x,-y,z'
'x,y,-z'
'x,-y,-z'
'-x,y,z'
'-x,y,-z'
'x,-y,z'
loop_
_atom_site_label
_atom_site_fract_x
_atom_site_fract_y
_atom_site_fract_z
K1 0.0000 0.0000 0.0000
Al1 0.0000 0.0000 0.5000
Al2 0.5000 0.5000 0.3263
# D(E_F): 2.13 states/eV per cell
# Final energy: -2.92 eV per atom
# Energy of formation: 0.165 eV/atom

=====

No. 7
# PBE KAl4, relaxed
data_KAl4
_symmetry_space_group_name_H-M 'I m -3 m'
_symmetry_Int_Tables_number 229
_symmetry_space_group_name_Hall '-I 4 2 3'
_cell_length_a 6.8596
_cell_length_b 6.8596
_cell_length_c 6.8596
_cell_angle_alpha 90.00
_cell_angle_beta 90.00
_cell_angle_gamma 90.00
loop_
_atom_site_label
_atom_site_fract_x
_atom_site_fract_y
_atom_site_fract_z
K1 0.0000 0.0000 0.0000
Al1 0.2500 0.2500 0.2500
# D(E_F): 12.73 states/eV per cell
# Final energy: -1.92 eV per atom
# Energy of formation: 1.294 eV/atom

=====

No. 8
# PBE K5Al4, relaxed
data_K5Al4
_symmetry_space_group_name_H-M 'I 4/m m m'
_symmetry_Int_Tables_number 139
_symmetry_space_group_name_Hall '-I 4 2'
_cell_length_a 11.8175
_cell_length_b 11.8175
_cell_length_c 4.3662
_cell_angle_alpha 90.00
_cell_angle_beta 90.00
_cell_angle_gamma 90.00
loop_
_atom_site_label
_atom_site_fract_x
_atom_site_fract_y
_atom_site_fract_z
K1 0.0000 0.0000 0.0000
K2 0.1750 0.1750 0.5000
Al1 0.0000 0.3823 0.0000
# D(E_F): 4.20 states/eV per cell
# Final energy: -2.02 eV per atom
# Energy of formation: 0.249 eV/atom

=====

No. 9
# PBE K6Al, relaxed
data_K6Al
_symmetry_space_group_name_H-M 'I m -3 m'
_symmetry_Int_Tables_number 229
_symmetry_space_group_name_Hall '-I 4 2 3'
_cell_length_a 10.9647
_cell_length_b 10.9647
_cell_length_c 10.9647
_cell_angle_alpha 90.00
_cell_angle_beta 90.00
_cell_angle_gamma 90.00
loop_
_atom_site_label
_atom_site_fract_x
_atom_site_fract_y
_atom_site_fract_z
K1 0.0000 0.2500 0.5000
Al1 0.0000 0.0000 0.0000
# D(E_F): 14.96 states/eV per cell
# Final energy: -0.80 eV per atom
# Energy of formation: 0.678 eV/atom

=====

No. 10
# PBE K3Al, relaxed
data_K3Al
_symmetry_space_group_name_H-M 'P 63/m m c'
_symmetry_Int_Tables_number 194
_symmetry_space_group_name_Hall '-P 6c 2c'
_cell_length_a 8.1838
_cell_length_b 8.1838
_cell_length_c 6.5140
_cell_angle_alpha 90.00
_cell_angle_beta 90.00
_cell_angle_gamma 120.00
loop_
_atom_site_label
_atom_site_fract_x
_atom_site_fract_y
_atom_site_fract_z
K1 0.1795 0.3589 0.2500
Al1 0.3333 0.6667 0.7500
# D(E_F): 5.89 states/eV per cell
# Final energy: -1.47 eV per atom
# Energy of formation: 0.293 eV/atom

=====

No. 11
# PBE KAl2, relaxed
data_KAl2
_symmetry_space_group_name_H-M 'P 63/m m c'
_symmetry_Int_Tables_number 194
_symmetry_space_group_name_Hall '-P 6c 2c'
_cell_length_a 5.3089
_cell_length_b 5.3089
_cell_length_c 6.5165
_cell_angle_alpha 90.00
_cell_angle_beta 90.00
_cell_angle_gamma 120.00
loop_
_atom_site_label
_atom_site_fract_x
_atom_site_fract_y
_atom_site_fract_z
K1 0.3333 0.6667 0.2500
Al1 0.0000 0.0000 0.0000
Al2 0.3333 0.6667 0.7500
# D(E_F): 3.13 states/eV per cell
# Final energy: -2.25 eV per atom
# Energy of formation: 0.608 eV/atom

=====

No. 12
# PBE KAl3, relaxed
data_KAl3
_symmetry_space_group_name_H-M 'P m -3 n'
_symmetry_Int_Tables_number 223
_symmetry_space_group_name_Hall '-P 4n 2 3'
_cell_length_a 5.8156
_cell_length_b 5.8156
_cell_length_c 5.8156
_cell_angle_alpha 90.00
_cell_angle_beta 90.00
_cell_angle_gamma 90.00
loop_
_atom_site_label
_atom_site_fract_x
_atom_site_fract_y
_atom_site_fract_z
K1 0.0000 0.0000 0.0000
Al1 0.0000 0.2500 0.5000
# D(E_F): 5.32 states/eV per cell
# Final energy: -2.49 eV per atom
# Energy of formation: 0.587 eV/atom